No. 1
VASP calculation (PBE) on crystalline KAlRu2 at its relaxed geometry.

abc: 2.864 2.864 9.282
angles: 90.00 90.00 90.00
Fractional positions:
K1 0.000 0.000 0.000
Al1 0.500 0.500 0.665
Ru1 0.000 0.000 0.476
Ru2 0.500 0.500 0.303

Values from the calculation:
Energy of formation, meV per atom: 346.9
E_tot, eV for the cell shown: -22.004
Space-group type: P4mm (99)
Volume, Å³ per atom: 19.03

=====

No. 2
VASP calculation (PBE) on crystalline Rb2NaScCl6 at its relaxed geometry.

abc: 7.439 7.439 7.439
angles: 60.00 60.00 60.00
Fractional positions:
Rb1 0.250 0.250 0.250
Rb2 0.750 0.750 0.750
Na1 0.000 0.000 0.000
Sc1 0.500 0.500 0.500
Cl1 0.263 0.263 0.737
Cl2 0.263 0.737 0.263
Cl3 0.263 0.737 0.737
Cl4 0.737 0.263 0.263
Cl5 0.737 0.263 0.737
Cl6 0.737 0.737 0.263

Values from the calculation:
E_tot, eV for the cell shown: -41.055
Space-group type: Fm-3m (225)
Volume, Å³ per atom: 29.10
E_form (uncorrected), eV per atom: -2.04

=====

No. 3
VASP calculation (PBE) on crystalline SiPtRh2 at its relaxed geometry.

abc: 2.819 2.819 24.924
angles: 90.00 90.00 120.00
Fractional positions:
Si1 0.000 0.000 0.000
Si2 0.333 0.667 0.667
Si3 0.667 0.333 0.333
Pt1 0.000 0.000 0.257
Pt2 0.333 0.667 0.924
Pt3 0.667 0.333 0.590
Rh1 0.000 0.000 0.496
Rh2 0.000 0.000 0.738
Rh3 0.333 0.667 0.163
Rh4 0.333 0.667 0.404
Rh5 0.667 0.333 0.071
Rh6 0.667 0.333 0.830

Values from the calculation:
E_tot, eV for the cell shown: -81.928
Space-group type: R3m (160)
Volume, Å³ per atom: 14.30
E_form (uncorrected), eV per atom: -0.29

=====

No. 4
VASP calculation (PBE) on crystalline Al4CuSi2 at its relaxed geometry.

abc: 3.987 3.987 21.203
angles: 90.00 90.00 120.00
Fractional positions:
Al1 0.000 0.000 0.000
Al2 0.000 0.000 0.233
Al3 0.000 0.000 0.500
Al4 0.000 0.000 0.733
Al5 0.333 0.667 0.154
Al6 0.333 0.667 0.392
Al7 0.667 0.333 0.654
Al8 0.667 0.333 0.892
Cu1 0.000 0.000 0.114
Cu2 0.000 0.000 0.614
Si1 0.333 0.667 0.275
Si2 0.333 0.667 0.943
Si3 0.667 0.333 0.443
Si4 0.667 0.333 0.775

Values from the calculation:
E_tot, eV for the cell shown: -56.727
Excess energy over the best structure of this formula in the dataset, meV/atom: 113.9
Space-group type: P6_3mc (186)
Volume, Å³ per atom: 20.85
E_form (uncorrected), eV per atom: 0.22

=====

No. 5
VASP calculation (PBE) on crystalline NaTcAs2Br at its relaxed geometry.

abc: 4.728 4.728 5.815
angles: 90.00 90.00 90.00
Fractional positions:
Na1 0.000 0.000 0.000
Tc1 0.500 0.500 0.500
As1 0.000 0.500 0.500
As2 0.500 0.000 0.500
Br1 0.500 0.500 0.000

Values from the calculation:
E_tot, eV for the cell shown: -23.115
Excess energy over the best structure of this formula in the dataset, meV/atom: 0.0
Space-group type: P4/mmm (123)
Volume, Å³ per atom: 26.00
E_form (uncorrected), eV per atom: -0.09

=====

No. 6
VASP calculation (PBE) on crystalline SrLiSi2 at its relaxed geometry.

abc: 8.514 3.875 5.873
angles: 90.00 110.34 90.00
Fractional positions:
Sr1 0.000 0.000 0.000
Sr2 0.500 0.500 0.000
Li1 0.000 0.500 0.500
Li2 0.500 0.000 0.500
Si1 0.234 0.000 0.615
Si2 0.266 0.500 0.385
Si3 0.734 0.500 0.615
Si4 0.766 0.000 0.385

Values from the calculation:
E_tot, eV for the cell shown: -31.189
Excess energy over the best structure of this formula in the dataset, meV/atom: 125.8
Space-group type: C2/m (12)
Volume, Å³ per atom: 22.71
E_form (uncorrected), eV per atom: -0.29